(1)
This record from Alexandria describes an optimized crystal structure of FePd2Ru. The functional is PBE.

```
data_FePd2Ru
_cell_length_a 6.9558
_cell_length_b 6.9558
_cell_length_c 5.5693
_cell_angle_alpha 51.36
_cell_angle_beta 51.36
_cell_angle_gamma 90.00
_space_group_name_H-M_alt 'P 1'
_space_group_IT_number 1
_space_group_name_Hall 'P 1'
loop_
_atom_site_label
_atom_site_type_symbol
_atom_site_fract_x
_atom_site_fract_y
_atom_site_fract_z
Ru1 Ru 0.7500 0.2500 0.5000
Ru2 Ru 0.0000 0.0000 0.0000
Pd1 Pd 0.1437 0.6250 0.2500
Pd2 Pd 0.8750 0.8563 0.7500
Pd3 Pd 0.6063 0.1250 0.2500
Pd4 Pd 0.3750 0.3937 0.7500
Fe1 Fe 0.5000 0.5000 0.0000
Fe2 Fe 0.2500 0.7500 0.5000
```

Computed properties:
M_tot = 1.26 μB/atom
distance to the lowest polymorph of the same formula = 36 meV per atom
formation enthalpy at 0 K = 0.597 eV per atom

***

(2)
This record from Alexandria describes an optimized crystal structure of FePdRu. The functional is PBE.

```
data_FePdRu
_cell_length_a 2.7072
_cell_length_b 2.7072
_cell_length_c 5.9111
_cell_angle_alpha 103.24
_cell_angle_beta 103.24
_cell_angle_gamma 90.00
_space_group_name_H-M_alt 'P 1'
_space_group_IT_number 1
_space_group_name_Hall 'P 1'
loop_
_atom_site_label
_atom_site_type_symbol
_atom_site_fract_x
_atom_site_fract_y
_atom_site_fract_z
Ru1 Ru 0.3216 0.3216 0.6433
Pd1 Pd 0.0052 0.0052 0.0104
Fe1 Fe 0.6731 0.6731 0.3463
```

Computed properties:
M_tot = 0.67 μB/atom
formation enthalpy at 0 K = 0.123 eV per atom